! Be2InCoCl, single point on PBEsol structure, DFT meta-GGA SCAN; values from VASP
! Calculated volume ... 22.13 Å³/atom
! Final energy ... -12.4204 eV per atom
&SYSTEM
  ibrav = 0, nat = 5, ntyp = 4
/
ATOMIC_SPECIES
Be 9.01 Be.upf
In 114.82 In.upf
Co 58.93 Co.upf
Cl 35.45 Cl.upf
CELL_PARAMETERS angstrom
4.4951 0.0000 0.0000
0.0000 4.4951 0.0000
0.0000 0.0000 5.4753
ATOMIC_POSITIONS angstrom
Be 0.0000 2.2475 0.0000
Be 2.2475 0.0000 0.0000
In 0.0000 0.0000 0.0000
Co 2.2475 2.2475 2.7376
Cl 0.0000 0.0000 2.7376